VASP calculation (GGA-PBE) on an optimized crystal structure of Zn4WCl.

Values from the calculation:
Its volume is 381.6 Å³/cell. For the total energy, the calculation gives -65.79 eV/cell. The calculation puts the energy relative to the elements, uncorrected at 575 meV/atom.

CIF file:
```
data_Zn4WCl
_cell_length_a 7.2533
_cell_length_b 7.2533
_cell_length_c 7.2533
_cell_angle_alpha 90.00
_cell_angle_beta 90.00
_cell_angle_gamma 90.00
_symmetry_space_group_name_H-M 'F -4 3 m'
_symmetry_Int_Tables_number 216
_symmetry_space_group_name_Hall 'F -4 2 3'
loop_
_atom_site_label
_atom_site_type_symbol
_atom_site_fract_x
_atom_site_fract_y
_atom_site_fract_z
_atom_site_occupancy
Zn1 Zn 0.1230 0.1230 0.1230 1
W1 W 0.2500 0.2500 0.7500 1
Cl1 Cl 0.0000 0.0000 0.5000 1
```

=====

VASP calculation (GGA-PBE) on an optimized crystal structure of CsReOF2.

Values from the calculation:
Its volume is 119.1 Å³/cell. For the total energy, the calculation gives -19.05 eV/cell. The calculation puts the energy relative to the elements, uncorrected at 591 meV/atom.

CIF file:
```
data_CsReOF2
_cell_length_a 5.2315
_cell_length_b 5.2315
_cell_length_c 4.3502
_cell_angle_alpha 90.00
_cell_angle_beta 90.00
_cell_angle_gamma 90.00
_symmetry_space_group_name_H-M 'P 4/m m m'
_symmetry_Int_Tables_number 123
_symmetry_space_group_name_Hall '-P 4 2'
loop_
_atom_site_label
_atom_site_type_symbol
_atom_site_fract_x
_atom_site_fract_y
_atom_site_fract_z
_atom_site_occupancy
Cs1 Cs 0.0000 0.0000 0.0000 1
Re1 Re 0.5000 0.5000 0.5000 1
O1 O 0.0000 0.0000 0.5000 1
F1 F 0.0000 0.5000 0.0000 1
```

=====

VASP calculation (GGA-PBE) on an optimized crystal structure of Pr5Ga2Hg.

Values from the calculation:
Its volume is 452.5 Å³/cell. For the total energy, the calculation gives -65.59 eV/cell. For the relative energy among the computed polymorphs, the calculation gives 96 meV/atom. The formation energy comes out at -2.539 eV per formula unit.

CIF file:
```
data_Pr5Ga2Hg
_cell_length_a 7.1192
_cell_length_b 7.1192
_cell_length_c 8.9285
_cell_angle_alpha 90.00
_cell_angle_beta 90.00
_cell_angle_gamma 90.00
_symmetry_space_group_name_H-M 'I 4/m m m'
_symmetry_Int_Tables_number 139
_symmetry_space_group_name_Hall '-I 4 2'
loop_
_atom_site_label
_atom_site_type_symbol
_atom_site_fract_x
_atom_site_fract_y
_atom_site_fract_z
_atom_site_occupancy
Pr1 Pr 0.0000 0.0000 0.0000 1
Pr2 Pr 0.2500 0.2500 0.2500 1
Ga1 Ga 0.0000 0.5000 0.0000 1
Hg1 Hg 0.0000 0.0000 0.5000 1
```

=====

VASP calculation (GGA-PBE) on an optimized crystal structure of Tm3NiSn2.

Values from the calculation:
Its volume is 591.0 Å³/cell. For the total energy, the calculation gives -124.52 eV/cell. The formation energy comes out at -3.928 eV per formula unit.

CIF file:
```
data_Tm3NiSn2
_cell_length_a 11.8876
_cell_length_b 4.3186
_cell_length_c 11.5130
_cell_angle_alpha 90.00
_cell_angle_beta 90.00
_cell_angle_gamma 90.00
_symmetry_space_group_name_H-M 'P n m a'
_symmetry_Int_Tables_number 62
loop_
_symmetry_equiv_pos_as_xyz
'x,y,z'
'-x,-y,-z'
'-x+1/2,-y,z+1/2'
'x+1/2,y,-z+1/2'
'x+1/2,-y+1/2,-z+1/2'
'-x+1/2,y+1/2,z+1/2'
'-x,y+1/2,-z'
'x,-y+1/2,z'
loop_
_atom_site_label
_atom_site_type_symbol
_atom_site_fract_x
_atom_site_fract_y
_atom_site_fract_z
_atom_site_occupancy
Tm1 Tm 0.0559 0.2500 0.1281 1
Tm2 Tm 0.1213 0.7500 0.5519 1
Tm3 Tm 0.2342 0.2500 0.7926 1
Ni1 Ni 0.1266 0.2500 0.3654 1
Sn1 Sn 0.0062 0.7500 0.3106 1
Sn2 Sn 0.1903 0.7500 0.9952 1
```